{
  "formula": "TlPSe2Br",
  "functional": "PBE-GGA",
  "state": "optimized geometry",
  "de_polymorph_mev_per_atom": 910.9,
  "e_tot_ev_per_atom": -2.366,
  "lattice_angstrom": [[5.492, 0.000, 0.000], [0.000, 5.492, 0.000], [0.000, 0.000, 5.496]],
  "species": ["Tl", "P", "Se", "Se", "Br"],
  "fractional_positions": [[0.000, 0.000, 0.000], [0.500, 0.500, 0.500], [0.000, 0.500, 0.000], [0.500, 0.000, 0.000], [0.000, 0.000, 0.500]]
}

{
  "formula": "La3AlBr",
  "functional": "PBE-GGA",
  "state": "optimized geometry",
  "de_polymorph_mev_per_atom": 0.0,
  "e_tot_ev_per_atom": -4.293,
  "lattice_angstrom": [[5.610, 0.000, 0.000], [0.000, 5.610, 0.000], [0.000, 0.000, 5.610]],
  "species": ["La", "La", "La", "Al", "Br"],
  "fractional_positions": [[0.000, 0.000, 0.500], [0.000, 0.500, 0.000], [0.500, 0.000, 0.000], [0.500, 0.500, 0.500], [0.000, 0.000, 0.000]]
}

{
  "formula": "Pr2DyPd",
  "functional": "PBE-GGA",
  "state": "optimized geometry",
  "de_polymorph_mev_per_atom": 153.7,
  "e_tot_ev_per_atom": -5.059,
  "e_form_ev_per_atom": -0.2208,
  "lattice_angstrom": [[3.866, 0.000, 0.000], [-1.933, 3.348, 0.000], [0.000, 0.000, 28.999]],
  "species": ["Pr", "Pr", "Pr", "Pr", "Pr", "Pr", "Dy", "Dy", "Dy", "Pd", "Pd", "Pd"],
  "fractional_positions": [[0.000, 0.000, 0.000], [0.000, 0.000, 0.200], [0.333, 0.667, 0.667], [0.333, 0.667, 0.866], [0.667, 0.333, 0.333], [0.667, 0.333, 0.533], [0.000, 0.000, 0.433], [0.333, 0.667, 0.100], [0.667, 0.333, 0.766], [0.000, 0.000, 0.600], [0.333, 0.667, 0.267], [0.667, 0.333, 0.933]]
}

Size of the total moment, respectively: 0.78 0.00 0.00 μB/cell.